Crystalline Sn2PtS at its relaxed geometry, computed with PBE.

a = 4.9172 Å, b = 4.9172 Å, c = 4.9172 Å
α = 60.00°, β = 60.00°, γ = 60.00°
Positions (direct):
1 Sn 0.7500 0.7500 0.7500
2 S 0.0000 0.0000 0.0000
3 Pt 0.5000 0.5000 0.5000
4 Sn 0.2500 0.2500 0.2500

- uncorrected formation energy (meV/atom) = -24

---

Crystalline TmBe2SiNi2 at its relaxed geometry, computed with PBE.

a = 4.0073 Å, b = 4.0073 Å, c = 5.3169 Å
α = 90.00°, β = 90.00°, γ = 90.00°
Positions (direct):
1 Be 0.5000 0.0000 0.0000
2 Tm 0.0000 0.0000 0.5000
3 Ni 0.5000 0.5000 0.2466
4 Si 0.0000 0.0000 0.0000
5 Be 0.0000 0.5000 0.0000
6 Ni 0.5000 0.5000 0.7534

- uncorrected formation energy (meV/atom) = 100

---

Crystalline MnCu2Pb at its relaxed geometry, computed with PBE.

a = 3.3119 Å, b = 3.3119 Å, c = 6.1732 Å
α = 90.00°, β = 90.00°, γ = 89.92°
Each line ends with the local moment (μB).
Positions (direct):
1 Cu 0.0000 0.0000 0.0483  0.09
2 Mn 0.5000 0.5000 0.2500  3.77
3 Pb 0.5000 0.5000 0.7500  0.00
4 Cu 0.0000 0.0000 0.4517  0.09

- energy relative to the elements (meV per atom) = 254

---

Crystalline K3UBr7 at its relaxed geometry, computed with PBE.

a = 7.7881 Å, b = 7.7881 Å, c = 8.6040 Å
α = 64.62°, β = 64.62°, γ = 86.06°
Each line ends with the local moment (μB).
Positions (direct):
1 Br 0.3169 0.9821 0.7352  -0.02
2 K 0.5041 0.5041 0.9089  0.00
3 K 0.7781 0.2301 0.4862  0.00
4 Br 0.6479 0.6479 0.4186  -0.01
5 Br 0.6331 0.1361 0.2067  -0.02
6 K 0.2301 0.7781 0.4862  0.00
7 Br 0.9821 0.3169 0.7352  -0.02
8 Br 0.1374 0.1374 0.1594  -0.02
9 Br 0.1361 0.6331 0.2067  -0.02
10 U 0.9521 0.9521 0.0414  2.09
11 Br 0.8071 0.8071 0.8654  -0.02

- uncorrected formation energy (meV/atom) = -1529

---

Crystalline YMg2Ag2 at its relaxed geometry, computed with PBE.

a = 8.2997 Å, b = 8.2997 Å, c = 3.0683 Å
α = 90.00°, β = 90.00°, γ = 90.00°
Positions (direct):
1 Y 0.5000 0.5000 0.0000
2 Ag 0.3286 0.1714 0.5000
3 Mg 0.3737 0.8737 0.0000
4 Ag 0.6714 0.8286 0.5000
5 Ag 0.1714 0.6714 0.5000
6 Mg 0.8737 0.6263 0.0000
7 Mg 0.6263 0.1263 0.0000
8 Y 0.0000 0.0000 0.0000
9 Ag 0.8286 0.3286 0.5000
10 Mg 0.1263 0.3737 0.0000

- energy relative to the elements (meV per atom) = -155

---

Crystalline La7Pr2Er2 at its relaxed geometry, computed with PBE.

a = 6.2369 Å, b = 8.2499 Å, c = 8.2499 Å
α = 89.86°, β = 105.20°, γ = 105.20°
Positions (direct):
1 La 0.0000 0.0000 0.0000
2 La 0.1801 0.9536 0.4161
3 Er 0.5000 0.7850 0.2150
4 Er 0.5000 0.2150 0.7850
5 Pr 0.5956 0.2262 0.2262
6 La 0.8199 0.0464 0.5839
7 La 0.8010 0.5745 0.5745
8 Pr 0.4044 0.7738 0.7738
9 La 0.1801 0.4161 0.9536
10 La 0.1990 0.4255 0.4255
11 La 0.8199 0.5839 0.0464

- energy relative to the elements (meV per atom) = 110

---

Crystalline Li10Ag6Hg at its relaxed geometry, computed with PBE.

a = 5.6232 Å, b = 7.7909 Å, c = 7.7909 Å
α = 120.00°, β = 90.00°, γ = 90.00°
Positions (direct):
1 Li 0.1821 0.0000 0.7103
2 Ag 0.3114 0.6306 0.6306
3 Ag 0.6886 0.6306 0.0000
4 Li 0.8179 0.7103 0.7103
5 Li 0.8179 0.2897 0.0000
6 Li 0.1821 0.7103 0.0000
7 Li 0.5000 0.6667 0.3333
8 Li 0.1821 0.2897 0.2897
9 Li 0.0000 0.6667 0.3333
10 Ag 0.3114 0.0000 0.3694
11 Ag 0.6886 0.0000 0.6306
12 Li 0.0000 0.3333 0.6667
13 Hg 0.5000 0.0000 0.0000
14 Li 0.5000 0.3333 0.6667
15 Ag 0.6886 0.3694 0.3694
16 Li 0.8179 0.0000 0.2897
17 Ag 0.3114 0.3694 0.0000

- energy relative to the elements (meV per atom) = -168

---

Crystalline ScSb2OsI at its relaxed geometry, computed with PBE.

a = 5.5304 Å, b = 5.5304 Å, c = 5.3680 Å
α = 90.00°, β = 90.00°, γ = 90.00°
Each line ends with the local moment (μB).
Positions (direct):
1 Sb 0.5000 0.0000 0.0000  -0.09
2 Sc 0.0000 0.0000 0.0000  0.06
3 I 0.0000 0.0000 0.5000  -0.01
4 Sb 0.0000 0.5000 0.0000  -0.09
5 Os 0.5000 0.5000 0.5000  2.85

- uncorrected formation energy (meV/atom) = 1256

---

Crystalline HoPb4F10 at its relaxed geometry, computed with PBE.

a = 6.2180 Å, b = 7.1851 Å, c = 7.1851 Å
α = 79.21°, β = 64.36°, γ = 64.36°
Positions (direct):
1 F 0.8825 0.7202 0.0876
2 F 0.6028 0.0876 0.2798
3 F 0.3097 0.7202 0.0876
4 F 0.9701 0.9124 0.7202
5 F 0.6903 0.2798 0.9124
6 Ho 0.0000 0.0000 0.0000
7 F 0.7500 0.5000 0.5000
8 F 0.2500 0.5000 0.5000
9 Pb 0.3989 0.8017 0.4005
10 Pb 0.7994 0.5995 0.8017
11 F 0.1175 0.2798 0.9124
12 F 0.0299 0.0876 0.2798
13 F 0.3972 0.9124 0.7202
14 Pb 0.2006 0.4005 0.1983
15 Pb 0.6011 0.1983 0.5995

- uncorrected formation energy (meV/atom) = -2662

---

Crystalline Pm5DyGe4 at its relaxed geometry, computed with PBE.

a = 5.0695 Å, b = 6.9884 Å, c = 10.7539 Å
α = 129.92°, β = 103.63°, γ = 90.00°
Positions (direct):
1 Dy 0.5000 0.0000 0.0000
2 Pm 0.8354 0.1661 0.6708
3 Pm 0.8346 0.6760 0.6693
4 Ge 0.3233 0.8953 0.6467
5 Ge 0.0092 0.2623 0.0183
6 Pm 0.1646 0.8339 0.3292
7 Pm 0.5000 0.5000 0.0000
8 Ge 0.6767 0.1047 0.3533
9 Ge 0.9908 0.7377 0.9817
10 Pm 0.1654 0.3240 0.3307

- energy relative to the elements (meV per atom) = -627

---

Crystalline Cs3Hg7Pd at its relaxed geometry, computed with PBE.

a = 10.5493 Å, b = 10.5493 Å, c = 10.8211 Å
α = 90.00°, β = 90.00°, γ = 125.95°
Positions (direct):
1 Hg 0.5555 0.7742 0.5919
2 Hg 0.2258 0.4445 0.4081
3 Hg 0.4446 0.2258 0.0919
4 Cs 0.4914 0.1182 0.7500
5 Pd 0.5000 0.5000 0.0000
6 Hg 0.7981 0.0534 0.7500
7 Hg 0.2019 0.9466 0.2500
8 Cs 0.0000 0.0000 0.5000
9 Cs 0.8818 0.5086 0.2500
10 Hg 0.7742 0.5555 0.5919
11 Pd 0.5000 0.5000 0.5000
12 Hg 0.4445 0.2258 0.4081
13 Hg 0.7742 0.5554 0.9081
14 Hg 0.2258 0.4446 0.0919
15 Hg 0.5554 0.7742 0.9081
16 Hg 0.0534 0.7981 0.7500
17 Hg 0.9466 0.2019 0.2500
18 Cs 0.0000 0.0000 0.0000
19 Hg 0.5553 0.5553 0.2500
20 Hg 0.4447 0.4447 0.7500
21 Cs 0.5086 0.8818 0.2500
22 Cs 0.1182 0.4914 0.7500

- energy relative to the elements (meV per atom) = -203

---

Crystalline MgHIr6 at its relaxed geometry, computed with PBE.

a = 4.8147 Å, b = 4.8147 Å, c = 4.8146 Å
α = 81.00°, β = 99.00°, γ = 81.00°
Positions (direct):
1 Ir 0.5584 0.8737 0.6561
2 Ir 0.1620 0.6850 0.9521
3 Mg 0.8798 0.2524 0.8196
4 H 0.5952 0.5369 0.5350
5 Ir 0.7162 0.5737 0.1982
6 Ir 0.4471 0.1199 0.1018
7 Ir 0.0122 0.9701 0.3869
8 Ir 0.2583 0.4159 0.4982

- DFT total energy (Ry per atom) = -0.534

---

Crystalline PrHgF5 at its relaxed geometry, computed with PBE.

a = 6.1985 Å, b = 6.1985 Å, c = 8.0648 Å
α = 71.81°, β = 71.81°, γ = 76.10°
Positions (direct):
1 F 0.1465 0.8535 0.7500
2 F 0.3375 0.6759 0.0346
3 F 0.3241 0.6625 0.4654
4 Hg 0.0000 0.0000 0.5000
5 F 0.7822 0.7280 0.1297
6 F 0.2178 0.2720 0.8703
7 F 0.6625 0.3241 0.9654
8 Hg 0.0000 0.0000 0.0000
9 F 0.8535 0.1465 0.2500
10 F 0.7280 0.7822 0.6297
11 F 0.2720 0.2178 0.3703
12 Pr 0.4545 0.5455 0.7500
13 Pr 0.5455 0.4545 0.2500
14 F 0.6759 0.3375 0.5346

- uncorrected formation energy (meV/atom) = -2887

---

Crystalline AlNiHg2 at its relaxed geometry, computed with PBE.

a = 8.8414 Å, b = 8.8414 Å, c = 8.8414 Å
α = 20.53°, β = 20.53°, γ = 20.53°
Positions (direct):
1 Ni 0.2500 0.2500 0.2500
2 Hg 0.9932 0.9932 0.9932
3 Hg 0.5068 0.5068 0.5068
4 Al 0.7500 0.7500 0.7500

- energy relative to the elements (meV per atom) = 244

---

Crystalline TiNbAlMo at its relaxed geometry, computed with PBE.

a = 4.5355 Å, b = 4.5355 Å, c = 4.5355 Å
α = 60.00°, β = 60.00°, γ = 60.00°
Positions (direct):
1 Al 0.0000 0.0000 0.0000
2 Mo 0.5000 0.5000 0.5000
3 Nb 0.7500 0.7500 0.7500
4 Ti 0.2500 0.2500 0.2500

- energy relative to the elements (meV per atom) = -249

---

Crystalline KScF4 at its relaxed geometry, computed with PBE.

a = 8.2263 Å, b = 8.2263 Å, c = 13.4886 Å
α = 72.60°, β = 72.60°, γ = 29.01°
Each line ends with the local moment (μB).
Positions (direct):
1 F 0.6172 0.6172 0.3820  0.00
2 F 0.2317 0.2317 0.2695  0.01
3 K 0.2435 0.2435 0.8645  0.00
4 F 0.8411 0.8411 0.9310  0.02
5 F 0.3828 0.3828 0.6180  0.00
6 F 0.0000 0.0000 0.5000  0.01
7 F 0.4715 0.4715 0.8583  0.02
8 K 0.7565 0.7565 0.1355  0.00
9 K 0.3589 0.3589 0.3638  0.00
10 F 0.8240 0.8240 0.5032  0.03
11 Sc 0.8803 0.8803 0.6144  0.00
12 K 0.6411 0.6411 0.6362  0.00
13 F 0.1760 0.1760 0.4968  0.03
14 F 0.9539 0.9539 0.7177  0.01
15 F 0.8987 0.8987 0.2160  0.06
16 F 0.7683 0.7683 0.7305  0.01
17 F 0.1589 0.1589 0.0690  0.02
18 F 0.0000 0.0000 0.0000  0.01
19 Sc 0.9716 0.9716 0.8619  0.00
20 Sc 0.0284 0.0284 0.1381  0.00
21 F 0.5285 0.5285 0.1417  0.02
22 F 0.0461 0.0461 0.2823  0.01
23 F 0.1013 0.1013 0.7840  0.06
24 Sc 0.1197 0.1197 0.3856  0.00

- uncorrected formation energy (meV/atom) = -3635

---

Crystalline CsAc2Ir at its relaxed geometry, computed with PBE.

a = 4.4845 Å, b = 4.4848 Å, c = 11.2502 Å
α = 89.99°, β = 90.00°, γ = 120.00°
Positions (direct):
1 Cs 0.0000 0.0000 0.0000
2 Ir 0.0000 0.0000 0.5000
3 Ac 0.6666 0.3332 0.6345
4 Ac 0.3334 0.6668 0.3655

- energy relative to the elements (meV per atom) = -390

---

Crystalline Sc2AlGe at its relaxed geometry, computed with PBE.

a = 3.8388 Å, b = 5.5276 Å, c = 8.2115 Å
α = 112.25°, β = 90.00°, γ = 90.00°
Positions (direct):
1 Sc 0.7500 0.2287 0.4232
2 Sc 0.2500 0.7802 0.0655
3 Sc 0.2500 0.7713 0.5768
4 Ge 0.2500 0.3378 0.2055
5 Ge 0.7500 0.6622 0.7945
6 Al 0.2500 0.3291 0.7066
7 Sc 0.7500 0.2198 0.9345
8 Al 0.7500 0.6709 0.2934

- energy relative to the elements (meV per atom) = -645

---

Crystalline Pr5Dy6In at its relaxed geometry, computed with PBE.

a = 5.0559 Å, b = 9.4690 Å, c = 9.4690 Å
α = 106.55°, β = 105.47°, γ = 105.47°
Positions (direct):
1 Dy 0.7554 0.9192 0.5917
2 Dy 0.2567 0.7569 0.7569
3 Pr 0.0000 0.6635 0.3365
4 In 0.0000 0.0000 0.0000
5 Dy 0.2446 0.0808 0.4083
6 Pr 0.5000 0.1674 0.8326
7 Pr 0.5000 0.5000 0.5000
8 Dy 0.7433 0.2431 0.2431
9 Dy 0.7554 0.5917 0.9192
10 Dy 0.2446 0.4083 0.0808
11 Pr 0.0000 0.3365 0.6635
12 Pr 0.5000 0.8326 0.1674

- energy relative to the elements (meV per atom) = -48

---

Crystalline NaPbBr3 at its relaxed geometry, computed with PBE.

a = 4.4024 Å, b = 10.8512 Å, c = 13.4776 Å
α = 145.82°, β = 90.00°, γ = 90.00°
Positions (direct):
1 Br 0.2500 0.7348 0.5747
2 Na 0.7500 0.7672 0.7589
3 Br 0.2500 0.7477 0.8925
4 Pb 0.2500 0.2677 0.5938
5 Pb 0.7500 0.7323 0.4062
6 Br 0.7500 0.2652 0.4253
7 Br 0.7500 0.2552 0.7389
8 Br 0.7500 0.2523 0.1075
9 Na 0.2500 0.2328 0.2411
10 Br 0.2500 0.7448 0.2611

- uncorrected formation energy (meV/atom) = -1162